First-principles (PBE-GGA) data for a relaxed TaCrSe crystal, as listed in Alexandria.

## Properties
Theoretical density in g/cm3: 10.29
Energy relative to the elements, uncorrected in meV per atom: 262
Symmetry: F-43m (216)

a = 4.1442 Å, b = 4.1442 Å, c = 4.1442 Å
α = 60.00°, β = 60.00°, γ = 60.00°
Positions (direct):
Cr: 0.7500 0.7500 0.7500
Ta: 0.5000 0.5000 0.5000
Se: 0.0000 0.0000 0.0000